(1)
Compound: Ho2MnGa5Co2
Source: Alexandria via LeMat-Bulk
Functional: PBE-GGA
Structure: relaxed

Structure (POSCAR):
```
Ho2MnGa5Co2
1.0
9.183 0.000 0.000
0.000 9.183 0.000
0.000 0.000 3.968
Ho Mn Ga Co
4 2 10 4
Direct
0.180 0.320 0.000
0.320 0.820 0.000
0.680 0.180 0.000
0.820 0.680 0.000
0.000 0.000 0.000
0.500 0.500 0.000
0.000 0.500 0.500
0.062 0.791 0.500
0.209 0.062 0.500
0.291 0.562 0.500
0.438 0.291 0.500
0.500 0.000 0.500
0.562 0.709 0.500
0.709 0.438 0.500
0.791 0.938 0.500
0.938 0.209 0.500
0.115 0.615 0.000
0.385 0.115 0.000
0.615 0.885 0.000
0.885 0.385 0.000
```

Summary:
Its space group is P4/mbm, No. 127. As for the total energy: -5.1459 eV/atom. The value obtained for the spin magnetization is 4.3 μB/f.u.



(2)
Compound: Ho2MnGa2Co5
Source: Alexandria via LeMat-Bulk
Functional: PBE-GGA
Structure: relaxed

Structure (POSCAR):
```
Ho2MnGa2Co5
1.0
9.440 0.000 0.000
0.000 9.440 0.000
0.000 0.000 3.340
Ho Mn Ga Co
4 2 4 10
Direct
0.174 0.326 0.000
0.326 0.826 0.000
0.674 0.174 0.000
0.826 0.674 0.000
0.000 0.000 0.000
0.500 0.500 0.000
0.125 0.625 0.000
0.375 0.125 0.000
0.625 0.875 0.000
0.875 0.375 0.000
0.000 0.500 0.500
0.060 0.803 0.500
0.197 0.060 0.500
0.303 0.560 0.500
0.440 0.303 0.500
0.500 0.000 0.500
0.560 0.697 0.500
0.697 0.440 0.500
0.803 0.940 0.500
0.940 0.197 0.500
```

Summary:
Its space group is P4/mbm, No. 127. As for the total energy: -6.1215 eV/atom. The value obtained for the spin magnetization is 6.1 μB/f.u.



(3)
Compound: NdHoGaCo
Source: Alexandria via LeMat-Bulk
Functional: PBE-GGA
Structure: relaxed

Structure (POSCAR):
```
NdHoGaCo
1.0
0.000 3.538 3.538
3.538 0.000 3.538
3.538 3.538 0.000
Nd Ho Ga Co
1 1 1 1
Direct
0.000 0.000 0.000
0.500 0.500 0.500
0.250 0.250 0.250
0.750 0.750 0.750
```

Summary:
Its space group is F-43m, No. 216. As for the total energy: -5.1258 eV/atom. The value obtained for the spin magnetization is 1.1 μB/f.u.



(4)
Compound: Ho2Ga3CoNi4
Source: Alexandria via LeMat-Bulk
Functional: PBE-GGA
Structure: relaxed

Structure (POSCAR):
```
Ho2Ga3CoNi4
1.0
3.866 0.000 0.000
0.000 3.866 0.000
0.000 0.000 10.516
Ho Ga Co Ni
2 3 1 4
Direct
0.000 0.500 0.237
0.500 0.000 0.763
0.000 0.000 0.000
0.000 0.500 0.635
0.500 0.000 0.365
0.500 0.500 0.000
0.000 0.000 0.500
0.000 0.500 0.863
0.500 0.000 0.137
0.500 0.500 0.500
```

Summary:
Its space group is P-4m2, No. 115. As for the total energy: -5.3143 eV/atom. The value obtained for the spin magnetization is 1.4 μB/f.u.



(5)
Compound: HoGa4Co2Ni
Source: Alexandria via LeMat-Bulk
Functional: PBE-GGA
Structure: relaxed

Structure (POSCAR):
```
HoGa4Co2Ni
1.0
2.032 1.173 8.490
-2.032 1.173 8.490
0.000 -2.347 8.490
Ho Ga Co Ni
1 4 2 1
Direct
0.000 0.000 0.000
0.131 0.131 0.131
0.403 0.403 0.403
0.597 0.597 0.597
0.869 0.869 0.869
0.230 0.230 0.230
0.770 0.770 0.770
0.500 0.500 0.500
```

Summary:
Its space group is R-3m, No. 166. As for the total energy: -4.9719 eV/atom. The value obtained for the spin magnetization is 0.0 μB/f.u.



(6)
Compound: HoGaCoNi
Source: Alexandria via LeMat-Bulk
Functional: PBE-GGA
Structure: relaxed

Structure (POSCAR):
```
HoGaCoNi
1.0
0.000 3.119 3.119
3.119 0.000 3.119
3.119 3.119 0.000
Ho Ga Co Ni
1 1 1 1
Direct
0.000 0.000 0.000
0.500 0.500 0.500
0.750 0.750 0.750
0.250 0.250 0.250
```

Summary:
Its space group is F-43m, No. 216. As for the total energy: -5.4488 eV/atom. The value obtained for the spin magnetization is 0.5 μB/f.u.